Here is a geometry-optimized Sb3SeCl structure from Alexandria via LeMat-Bulk. Energies are from PBE-GGA.

Calculated values
Energy relative to the elements, uncorrected, kJ/mol of formula units: 451
ΔE to the lowest computed polymorph, eV per atom: 0.354

Cell: 5.353 5.353 5.353 Å, 90.00 90.00 90.00°
Space group Pm-3m (No. 221)
One atom of each set of equivalent atoms:
Sb: 0.000 0.000 0.500 (multiplicity 3)
Se: 0.500 0.500 0.500 (multiplicity 1)
Cl: 0.000 0.000 0.000 (multiplicity 1)

=====

Here is a geometry-optimized Nd3Ho2Tm6Sc structure from Alexandria via LeMat-Bulk. Energies are from PBE-GGA.

Calculated values
Formation energy, eV/atom: 0.034

Cell: 6.116 10.587 11.636 Å, 90.00 100.08 90.00°
Space group C2/m (No. 12)
One atom of each set of equivalent atoms:
Nd: 0.000 0.000 0.000 (multiplicity 2)
Nd: 0.000 0.333 0.000 (multiplicity 4)
Ho: 0.000 0.166 0.500 (multiplicity 4)
Tm: 0.246 0.335 0.744 (multiplicity 8)
Tm: 0.250 0.000 0.744 (multiplicity 4)
Sc: 0.000 0.500 0.500 (multiplicity 2)

=====

Here is a geometry-optimized Cs5Rb2Br structure from Alexandria via LeMat-Bulk. Energies are from PBE-GGA.

Calculated values
Energy relative to the elements, uncorrected, kJ/mol of formula units: -300

Cell: 8.371 15.274 23.995 Å, 90.00 90.00 90.00°
Space group Cmcm (No. 63)
One atom of each set of equivalent atoms:
Cs: 0.000 0.088 0.140 (multiplicity 8)
Cs: 0.000 0.250 0.750 (multiplicity 4)
Cs: 0.000 0.411 0.141 (multiplicity 8)
Rb: 0.000 0.254 0.547 (multiplicity 8)
Br: 0.000 0.249 0.250 (multiplicity 4)